Record 1
The following is a DFT calculation (meta-GGA SCAN) of Fe2TeO2 at its PBEsol-relaxed geometry.

The structure in CIF format:
```
data_Fe2TeO2
_cell_length_a 3.4841
_cell_length_b 3.4841
_cell_length_c 10.6631
_cell_angle_alpha 90.00
_cell_angle_beta 90.00
_cell_angle_gamma 90.00
_symmetry_space_group_name_H-M 'I 4/m m m'
_symmetry_Int_Tables_number 139
_symmetry_space_group_name_Hall '-I 4 2'
loop_
_atom_site_label
_atom_site_fract_x
_atom_site_fract_y
_atom_site_fract_z
Fe1 0.0000 0.0000 0.1631
Te1 0.0000 0.0000 0.5000
O1 0.0000 0.5000 0.2500
```

Output
total energy	-17.902	eV per atom

***

Record 2
The following is a DFT calculation (meta-GGA SCAN) of CrSbBr2 at its PBEsol-relaxed geometry.

The structure in CIF format:
```
data_CrSbBr2
_cell_length_a 3.4337
_cell_length_b 3.4337
_cell_length_c 8.0074
_cell_angle_alpha 90.00
_cell_angle_beta 90.00
_cell_angle_gamma 90.00
_symmetry_space_group_name_H-M 'P 4 m m'
_symmetry_Int_Tables_number 99
loop_
_symmetry_equiv_pos_as_xyz
'x,y,z'
'-y,x,z'
'-x,-y,z'
'y,-x,z'
'-x,y,z'
'y,x,z'
'x,-y,z'
'-y,-x,z'
loop_
_atom_site_label
_atom_site_fract_x
_atom_site_fract_y
_atom_site_fract_z
Cr1 0.0000 0.0000 0.0000
Sb1 0.5000 0.5000 0.2022
Br1 0.0000 0.0000 0.4506
Br2 0.5000 0.5000 0.8200
```

Output
total energy	-23.813	eV per atom

***

Number 1: raw formation energy -0.7076 eV per atom, total magnetization 1.770 μB/atom. Number 2: raw formation energy -0.1719 eV per atom, total magnetization 1.074 μB/atom.